A | Computed, not measured: MgTi3V5O16 after structural relaxation at the GGA+U level of DFT.

Structure (POSCAR):
```
MgTi3V5O16
1.0
-4.890 -0.311 3.214
-4.995 -1.593 -2.663
0.252 -9.562 2.162
O V Ti Mg
16 5 3 1
Direct
0.313 0.805 0.587
0.758 0.228 0.091
0.816 0.808 0.602
0.961 0.957 0.802
0.226 0.235 0.094
0.033 0.043 0.308
0.218 0.759 0.093
0.814 0.304 0.588
0.988 0.421 0.811
0.723 0.739 0.110
0.548 0.994 0.331
0.440 0.438 0.819
0.552 0.541 0.328
0.324 0.317 0.594
0.989 0.564 0.330
0.423 0.987 0.810
0.622 0.114 0.712
0.843 0.912 0.221
0.672 0.665 0.491
0.117 0.616 0.713
0.423 0.420 0.010
0.387 0.842 0.223
0.910 0.391 0.220
0.137 0.130 0.656
0.095 0.094 0.949
```

B | Computed, not measured: MgTi3V5O16 after structural relaxation at the GGA+U level of DFT.

Structure (POSCAR):
```
MgTi3V5O16
1.0
5.914 -0.001 0.002
-2.954 -5.135 -0.003
-0.181 0.021 -9.417
Ti O V Mg
3 16 5 1
Direct
0.678 0.825 0.780
0.875 0.681 0.292
0.179 0.833 0.815
0.465 0.948 0.663
0.516 0.057 0.161
0.957 0.477 0.180
0.042 0.502 0.671
0.986 0.997 0.188
0.345 0.665 0.898
0.332 0.168 0.893
0.166 0.322 0.400
0.822 0.149 0.892
0.475 0.507 0.661
0.658 0.840 0.395
0.524 0.498 0.150
0.838 0.662 0.893
0.641 0.335 0.394
0.009 0.995 0.683
0.172 0.851 0.407
0.343 0.223 0.253
0.147 0.331 0.791
0.324 0.655 0.514
0.675 0.326 0.012
0.805 0.143 0.297
0.362 0.175 0.551
```

Which of them is the most stable, and which is the least stable? B and A, in that order.

A | Computed, not measured: MgTi3V5O16 after structural relaxation at the GGA+U level of DFT.

Structure (POSCAR):
```
MgTi3V5O16
1.0
-2.213 5.050 -2.077
-1.508 0.380 -5.708
-8.773 -2.857 1.943
V O Ti Mg
5 16 3 1
Direct
0.170 0.668 0.307
0.887 0.785 0.756
0.662 0.662 0.513
0.334 0.351 0.015
0.656 0.178 0.306
0.024 0.489 0.161
0.476 0.038 0.161
0.018 0.013 0.687
0.981 0.990 0.186
0.696 0.671 0.894
0.315 0.830 0.395
0.542 0.952 0.659
0.535 0.520 0.676
0.817 0.330 0.393
0.982 0.515 0.652
0.685 0.150 0.908
0.178 0.177 0.896
0.814 0.830 0.392
0.464 0.475 0.175
0.164 0.684 0.900
0.308 0.319 0.394
0.158 0.172 0.269
0.343 0.874 0.790
0.811 0.326 0.798
0.814 0.825 0.052
```

B | Computed, not measured: MgTi3V5O16 after structural relaxation at the GGA+U level of DFT.

Structure (POSCAR):
```
MgTi3V5O16
1.0
-4.367 0.637 -3.971
2.437 -5.355 0.860
-6.297 -1.677 6.657
O Mg V Ti
16 1 5 3
Direct
0.979 0.999 0.684
0.460 0.514 0.658
0.340 0.169 0.899
0.511 0.036 0.157
0.995 0.995 0.182
0.814 0.651 0.895
0.463 0.943 0.661
0.170 0.828 0.382
0.169 0.335 0.384
0.667 0.328 0.389
0.819 0.173 0.894
0.663 0.824 0.384
0.024 0.514 0.658
0.512 0.473 0.158
0.327 0.651 0.899
0.947 0.475 0.156
0.323 0.658 0.108
0.640 0.325 0.995
0.323 0.165 0.292
0.325 0.669 0.514
0.829 0.668 0.289
0.151 0.827 0.792
0.123 0.329 0.773
0.823 0.160 0.285
0.647 0.811 0.774
```

C | Computed, not measured: MgTi3V5O16 after structural relaxation at the GGA+U level of DFT.

Structure (POSCAR):
```
MgTi3V5O16
1.0
-4.136 -1.033 4.093
5.601 -1.926 0.907
2.116 8.448 4.133
Ti O V Mg
3 16 5 1
Direct
0.202 0.319 0.725
0.339 0.134 0.186
0.881 0.233 0.202
0.022 0.490 0.857
0.439 0.933 0.852
0.481 0.526 0.846
0.157 0.817 0.100
0.650 0.838 0.100
0.293 0.642 0.629
0.833 0.666 0.602
0.669 0.341 0.098
0.832 0.148 0.592
0.335 0.179 0.598
0.189 0.345 0.101
0.525 0.075 0.325
0.010 0.019 0.295
0.994 0.995 0.811
0.566 0.526 0.334
0.976 0.493 0.327
0.107 0.754 0.751
0.357 0.678 0.990
0.680 0.333 0.485
0.644 0.840 0.716
0.802 0.666 0.208
0.006 0.978 0.490
```

Which of them is the most stable, and which is the least stable? B and C, in that order.